[1]
# Fe8Mo, relaxed, DFT PBE-GGA
# Formation energy: 13.10 kJ per mole of atoms
# Energy: -8.590 eV/atom
data_Fe8Mo
_chemical_formula_sum 'Fe16 Mo2'
_space_group_name_H-M_alt 'I 4/m m m'
_space_group_IT_number 139
_space_group_name_Hall '-I 4 2'
_cell_length_a 7.553
_cell_length_b 7.553
_cell_length_c 3.540
_cell_angle_alpha 90.00
_cell_angle_beta 90.00
_cell_angle_gamma 90.00
loop_
_atom_site_label
_atom_site_type_symbol
_atom_site_fract_x
_atom_site_fract_y
_atom_site_fract_z
_atom_site_occupancy
Fe1 Fe 0.000 0.344 0.000 1
Fe2 Fe 0.174 0.174 0.500 1
Mo1 Mo 0.000 0.000 0.000 1



[2]
# CaEuCuP, relaxed, DFT PBE-GGA
# Formation energy: -57.48 kJ per mole of atoms
# Energy: -6.041 eV/atom
data_CaEuCuP
_chemical_formula_sum 'Ca4 Eu4 Cu4 P4'
_space_group_name_H-M_alt 'F -4 3 m'
_space_group_IT_number 216
_space_group_name_Hall 'F -4 2 3'
_cell_length_a 7.120
_cell_length_b 7.120
_cell_length_c 7.120
_cell_angle_alpha 90.00
_cell_angle_beta 90.00
_cell_angle_gamma 90.00
loop_
_atom_site_label
_atom_site_type_symbol
_atom_site_fract_x
_atom_site_fract_y
_atom_site_fract_z
_atom_site_occupancy
Ca1 Ca 0.000 0.000 0.000 1
Eu1 Eu 0.000 0.000 0.500 1
Cu1 Cu 0.250 0.250 0.250 1
P1 P 0.250 0.250 0.750 1